BaAcMo2O8 | PBE with a Hubbard U | relaxed

Cell and atoms, written as extended XYZ:
```
12
Lattice="6.119 0.000 0.000 -3.060 5.299 0.000 0.000 0.000 7.925" Properties=species:S:1:pos:R:3 pbc="T T T"
Ba 0.000 0.000 0.000
Ac 0.000 0.000 3.962
Mo 0.000 3.533 6.284
Mo 3.060 1.766 1.641
O 0.000 1.783 5.696
O -1.515 4.408 5.696
O 0.000 3.533 0.140
O 1.544 0.891 2.229
O 1.515 4.408 5.696
O 3.060 1.766 7.785
O 4.575 0.891 2.229
O 3.060 3.516 2.229
```

Values from the calculation:
electronic total energy	-86.61	eV/f.u.
volume	257.0	Å³/f.u.